Version 1
# LiEuDy

A relaxed LiEuDy crystal (PBE, Alexandria via LeMat-Bulk).

- ρ (Mg/m³) = 5.78
- symmetry = I4mm (107)

abc: 3.7754 3.7754 12.9468
angles: 90.00 90.00 90.00
Fractional positions:
Li 0.0000 0.0000 0.0000
Li 0.5000 0.5000 0.5000
Eu 0.0000 0.0000 0.3404
Eu 0.5000 0.5000 0.8404
Dy 0.0000 0.0000 0.6400
Dy 0.5000 0.5000 0.1400


Version 2
# LiEuDy

A relaxed LiEuDy crystal (PBE, Alexandria via LeMat-Bulk).

- ρ (Mg/m³) = 5.71
- symmetry = P3m1 (156)

abc: 5.5881 5.5881 3.4571
angles: 90.00 90.00 120.00
Fractional positions:
Li 0.0000 0.0000 0.0000
Eu 0.3333 0.6667 0.2576
Dy 0.6667 0.3333 0.6688


The most stable arrangement is version 1, and the next structure is 72 meV/atom less stable.


Version 1
# Li2EuDy

A relaxed Li2EuDy crystal (PBE, Alexandria via LeMat-Bulk).

- ρ (Mg/m³) = 4.74
- symmetry = P4/mmm (123)

abc: 3.8306 3.8306 7.8445
angles: 90.00 90.00 90.00
Fractional positions:
Li 0.0000 0.0000 0.2287
Li 0.0000 0.0000 0.7713
Eu 0.5000 0.5000 0.5000
Dy 0.5000 0.5000 0.0000


Version 2
# Li2EuDy

A relaxed Li2EuDy crystal (PBE, Alexandria via LeMat-Bulk).

- ρ (Mg/m³) = 4.78
- symmetry = Fm-3m (225)

abc: 7.6981 7.6981 7.6981
angles: 90.00 90.00 90.00
Fractional positions:
Li 0.2500 0.2500 0.2500
Li 0.2500 0.2500 0.7500
Li 0.2500 0.7500 0.2500
Li 0.2500 0.7500 0.7500
Li 0.7500 0.2500 0.2500
Li 0.7500 0.2500 0.7500
Li 0.7500 0.7500 0.2500
Li 0.7500 0.7500 0.7500
Eu 0.0000 0.0000 0.0000
Eu 0.0000 0.5000 0.5000
Eu 0.5000 0.0000 0.5000
Eu 0.5000 0.5000 0.0000
Dy 0.0000 0.0000 0.5000
Dy 0.0000 0.5000 0.0000
Dy 0.5000 0.0000 0.0000
Dy 0.5000 0.5000 0.5000


The most stable arrangement is version 1, and the next structure is 28 meV/atom less stable.


Version 1
# LiEu2Dy

A relaxed LiEu2Dy crystal (PBE, Alexandria via LeMat-Bulk).

- ρ (Mg/m³) = 5.76
- symmetry = P4/mmm (123)

abc: 3.8078 3.8078 9.4189
angles: 90.00 90.00 90.00
Fractional positions:
Li 0.0000 0.0000 0.0000
Eu 0.5000 0.5000 0.2287
Eu 0.5000 0.5000 0.7713
Dy 0.0000 0.0000 0.5000


Version 2
# LiEu2Dy

A relaxed LiEu2Dy crystal (PBE, Alexandria via LeMat-Bulk).

- ρ (Mg/m³) = 5.65
- symmetry = Fm-3m (225)

abc: 8.2242 8.2242 8.2242
angles: 90.00 90.00 90.00
Fractional positions:
Li 0.0000 0.0000 0.0000
Li 0.0000 0.5000 0.5000
Li 0.5000 0.0000 0.5000
Li 0.5000 0.5000 0.0000
Eu 0.2500 0.2500 0.2500
Eu 0.2500 0.2500 0.7500
Eu 0.2500 0.7500 0.2500
Eu 0.2500 0.7500 0.7500
Eu 0.7500 0.2500 0.2500
Eu 0.7500 0.2500 0.7500
Eu 0.7500 0.7500 0.2500
Eu 0.7500 0.7500 0.7500
Dy 0.0000 0.0000 0.5000
Dy 0.0000 0.5000 0.0000
Dy 0.5000 0.0000 0.0000
Dy 0.5000 0.5000 0.5000


The most stable arrangement is version 1, and the next structure is 108 meV/atom less stable.


Version 1
# Eu2DyLu

A relaxed Eu2DyLu crystal (PBE, Alexandria via LeMat-Bulk).

- ρ (Mg/m³) = 7.72
- symmetry = P4/mmm (123)

abc: 3.6236 3.6236 10.5103
angles: 90.00 90.00 90.00
Fractional positions:
Eu 0.0000 0.0000 0.2467
Eu 0.0000 0.0000 0.7533
Dy 0.5000 0.5000 0.5000
Lu 0.5000 0.5000 0.0000


Version 2
# Eu2DyLu

A relaxed Eu2DyLu crystal (PBE, Alexandria via LeMat-Bulk).

- ρ (Mg/m³) = 7.71
- symmetry = Fm-3m (225)

abc: 8.2070 8.2070 8.2070
angles: 90.00 90.00 90.00
Fractional positions:
Eu 0.2500 0.2500 0.2500
Eu 0.2500 0.2500 0.7500
Eu 0.2500 0.7500 0.2500
Eu 0.2500 0.7500 0.7500
Eu 0.7500 0.2500 0.2500
Eu 0.7500 0.2500 0.7500
Eu 0.7500 0.7500 0.2500
Eu 0.7500 0.7500 0.7500
Dy 0.0000 0.0000 0.0000
Dy 0.0000 0.5000 0.5000
Dy 0.5000 0.0000 0.5000
Dy 0.5000 0.5000 0.0000
Lu 0.0000 0.0000 0.5000
Lu 0.0000 0.5000 0.0000
Lu 0.5000 0.0000 0.0000
Lu 0.5000 0.5000 0.5000


The most stable arrangement is version 1, and the next structure is 43 meV/atom less stable.